[1]
Compound: Rb2GePt2
Source: Alexandria
Functional: PBE
Structure: optimized geometry

a = 4.4152 Å, b = 4.4152 Å, c = 32.4709 Å
α = 90.00°, β = 90.00°, γ = 120.00°
Fractional coordinates of all 15 atoms:
Rb 0.0000 0.0000 0.0759
Rb 0.0000 0.0000 0.9241
Rb 0.3333 0.6667 0.5908
Rb 0.3333 0.6667 0.7426
Rb 0.6667 0.3333 0.2574
Rb 0.6667 0.3333 0.4092
Ge 0.0000 0.0000 0.5000
Ge 0.3333 0.6667 0.1667
Ge 0.6667 0.3333 0.8333
Pt 0.0000 0.0000 0.1817
Pt 0.0000 0.0000 0.8183
Pt 0.3333 0.6667 0.4849
Pt 0.3333 0.6667 0.8484
Pt 0.6667 0.3333 0.1516
Pt 0.6667 0.3333 0.5151

Values from the calculation:
- final energy (eV per cell) = -60.1
- space group = No. 166
- ΔE to the lowest computed polymorph (meV per atom) = 0.0
- energy of formation (eV per formula unit) = -1.39

[2]
Compound: Nb2CoSbH
Source: Alexandria
Functional: PBE
Structure: optimized geometry

a = 4.0175 Å, b = 4.0175 Å, c = 4.3091 Å
α = 90.00°, β = 90.00°, γ = 90.00°
Fractional coordinates of all 5 atoms:
Nb 0.0000 0.5000 0.0000
Nb 0.5000 0.0000 0.0000
Co 0.0000 0.0000 0.5000
Sb 0.5000 0.5000 0.5000
H 0.0000 0.0000 0.0000

Values from the calculation:
- final energy (eV per cell) = -35.1
- space group = No. 123

[3]
Compound: Pm3Y3In2
Source: Alexandria
Functional: PBE
Structure: optimized geometry

a = 4.9013 Å, b = 4.9599 Å, c = 9.7525 Å
α = 90.00°, β = 90.00°, γ = 90.00°
Fractional coordinates of all 8 atoms:
Pm 0.0000 0.0000 0.0000
Pm 0.5000 0.0000 0.2478
Pm 0.5000 0.0000 0.7522
Y 0.0000 0.0000 0.5000
Y 0.5000 0.5000 0.0000
Y 0.5000 0.5000 0.5000
In 0.0000 0.5000 0.2538
In 0.0000 0.5000 0.7462

Values from the calculation:
- final energy (eV per cell) = -41.3
- space group = No. 47
- ΔE to the lowest computed polymorph (meV per atom) = 0.0
- energy of formation (eV per formula unit) = -2.21

[4]
Compound: Tl2BN
Source: Alexandria
Functional: PBE
Structure: optimized geometry

a = 6.5605 Å, b = 6.5605 Å, c = 6.5605 Å
α = 90.00°, β = 90.00°, γ = 90.00°
Fractional coordinates of all 16 atoms:
Tl 0.2500 0.2500 0.2500
Tl 0.2500 0.2500 0.7500
Tl 0.2500 0.7500 0.2500
Tl 0.2500 0.7500 0.7500
Tl 0.7500 0.2500 0.2500
Tl 0.7500 0.2500 0.7500
Tl 0.7500 0.7500 0.2500
Tl 0.7500 0.7500 0.7500
B 0.0000 0.0000 0.0000
B 0.0000 0.5000 0.5000
B 0.5000 0.0000 0.5000
B 0.5000 0.5000 0.0000
N 0.0000 0.0000 0.5000
N 0.0000 0.5000 0.0000
N 0.5000 0.0000 0.0000
N 0.5000 0.5000 0.5000

Values from the calculation:
- final energy (eV per cell) = -50.1
- space group = No. 225
- energy relative to the elements, uncorrected (eV per atom) = 1.801
- ΔE to the lowest computed polymorph (meV per atom) = 573.7

[5]
Compound: ZrTi5Cl12
Source: Alexandria
Functional: PBE
Structure: optimized geometry

a = 5.9697 Å, b = 5.9697 Å, c = 14.0022 Å
α = 90.02°, β = 90.02°, γ = 122.50°
Fractional coordinates of all 18 atoms:
Zr 0.0000 0.0000 0.0000
Ti 0.1307 0.8693 0.5000
Ti 0.3713 0.6287 0.0000
Ti 0.5000 0.5000 0.5000
Ti 0.6287 0.3713 0.0000
Ti 0.8693 0.1307 0.5000
Cl 0.0069 0.6522 0.1076
Cl 0.1641 0.5080 0.3970
Cl 0.1743 0.1743 0.6213
Cl 0.3368 0.3368 0.1267
Cl 0.3478 0.9931 0.8924
Cl 0.4920 0.8359 0.6030
Cl 0.5080 0.1641 0.3970
Cl 0.6522 0.0069 0.1076
Cl 0.6632 0.6632 0.8733
Cl 0.8257 0.8257 0.3787
Cl 0.8359 0.4920 0.6030
Cl 0.9931 0.3478 0.8924

Values from the calculation:
- final energy (eV per cell) = -96.6
- space group = No. 12
- energy relative to the elements, uncorrected (eV per atom) = -1.468

[6]
Compound: RbNaSnBr6
Source: Alexandria
Functional: PBE
Structure: optimized geometry

a = 7.5013 Å, b = 7.5013 Å, c = 14.5907 Å
α = 90.00°, β = 90.00°, γ = 120.00°
Fractional coordinates of all 18 atoms:
Rb 0.0000 0.0000 0.0000
Rb 0.0000 0.0000 0.5000
Na 0.3333 0.6667 0.2500
Na 0.6667 0.3333 0.7500
Sn 0.3333 0.6667 0.7500
Sn 0.6667 0.3333 0.2500
Br 0.0350 0.3894 0.6438
Br 0.0350 0.6456 0.8562
Br 0.3544 0.3894 0.8562
Br 0.3544 0.9650 0.6438
Br 0.3894 0.0350 0.1438
Br 0.3894 0.3544 0.3562
Br 0.6106 0.6456 0.6438
Br 0.6106 0.9650 0.8562
Br 0.6456 0.0350 0.3562
Br 0.6456 0.6106 0.1438
Br 0.9650 0.3544 0.1438
Br 0.9650 0.6106 0.3562

Values from the calculation:
- final energy (eV per cell) = -52.4
- space group = No. 163
- energy relative to the elements, uncorrected (eV per atom) = -1.100

[7]
Compound: CaLaAl
Source: Alexandria
Functional: PBE
Structure: optimized geometry

a = 5.4437 Å, b = 5.4437 Å, c = 7.0739 Å
α = 90.00°, β = 90.00°, γ = 120.00°
Fractional coordinates of all 6 atoms:
Ca 0.0000 0.0000 0.0000
Ca 0.3333 0.6667 0.7746
La 0.0000 0.0000 0.5073
La 0.6667 0.3333 0.2123
Al 0.3333 0.6667 0.2784
Al 0.6667 0.3333 0.7312

Values from the calculation:
- final energy (eV per cell) = -22.5
- space group = No. 156
- ΔE to the lowest computed polymorph (meV per atom) = 83.1
- energy of formation (eV per formula unit) = -0.59

[8]
Compound: Ho3ErSc3
Source: Alexandria
Functional: PBE
Structure: optimized geometry

a = 9.1879 Å, b = 9.1879 Å, c = 5.4169 Å
α = 90.00°, β = 90.00°, γ = 120.00°
Fractional coordinates of all 14 atoms:
Ho 0.0477 0.2446 0.2500
Ho 0.1968 0.9523 0.2500
Ho 0.2446 0.1968 0.7500
Ho 0.7554 0.8032 0.2500
Ho 0.8032 0.0477 0.7500
Ho 0.9523 0.7554 0.7500
Er 0.3333 0.6667 0.2500
Er 0.6667 0.3333 0.7500
Sc 0.0957 0.4811 0.7500
Sc 0.3854 0.9043 0.7500
Sc 0.4811 0.3854 0.2500
Sc 0.5189 0.6146 0.7500
Sc 0.6146 0.0957 0.2500
Sc 0.9043 0.5189 0.2500

Values from the calculation:
- final energy (eV per cell) = -74.3
- space group = No. 176
- energy of formation (eV per formula unit) = 0.16